Record 1
Here is ZrHgI2N after structural relaxation from the Alexandria database. Energies are from PBE.

## Properties
The calculation puts the relative energy among the computed polymorphs at 0 meV/atom. As for the raw formation energy: -218 meV/atom. The space group is P4/mmm.

Cell lengths 6.042, 6.042, 4.041 Å; angles 90.00, 90.00, 90.00 degrees
Atoms (fractional coordinates):
I 0.500 0.000 0.000
I 0.000 0.500 0.000
Zr 0.000 0.000 0.000
Hg 0.500 0.500 0.500
N 0.000 0.000 0.500



Record 2
Here is TiFe4Rh after structural relaxation from the Alexandria database. Energies are from PBE.

## Properties
For the calculated formation energy, the calculation gives -0.1729 eV per atom. The space group is F-43m.

Cell lengths 4.730, 4.730, 4.730 Å; angles 60.00, 60.00, 60.00 degrees
Last column: magnetic moment on the atom in μB.
Atoms (fractional coordinates):
Rh 0.000 0.000 0.000  0.50
Fe 0.625 0.625 0.625  1.84
Ti 0.250 0.250 0.250  -0.56
Fe 0.625 0.625 0.126  1.84
Fe 0.126 0.625 0.625  1.84
Fe 0.625 0.126 0.625  1.84



Record 3
Here is PmGdOsRh after structural relaxation from the Alexandria database. Energies are from PBE.

## Properties
For the calculated formation energy, the calculation gives -0.3167 eV per atom. The space group is F-43m.

Cell lengths 4.919, 4.919, 4.919 Å; angles 60.00, 60.00, 60.00 degrees
Last column: magnetic moment on the atom in μB.
Atoms (fractional coordinates):
Gd 0.750 0.750 0.750  -7.01
Pm 0.250 0.250 0.250  -0.02
Os 0.500 0.500 0.500  0.08
Rh 0.000 0.000 0.000  0.06



Record 4
Here is Tb3Pm2Nd after structural relaxation from the Alexandria database. Energies are from PBE.

## Properties
The calculation puts the relative energy among the computed polymorphs at 0 meV/atom. For the calculated formation energy, the calculation gives 0.1185 eV per atom. The space group is C2/m.

Cell lengths 3.526, 10.391, 11.849 Å; angles 108.31, 98.56, 90.00 degrees
Atoms (fractional coordinates):
Nd 0.686 0.037 0.373
Pm 0.932 0.860 0.865
Pm 0.691 0.372 0.383
Tb 0.559 0.446 0.119
Tb 0.441 0.554 0.881
Tb 0.305 0.285 0.610
Pm 0.068 0.140 0.135
Tb 0.932 0.237 0.864
Tb 0.695 0.715 0.390
Nd 0.314 0.963 0.627
Pm 0.309 0.628 0.617
Tb 0.068 0.763 0.136



Record 5
Here is Ta2AlAs after structural relaxation from the Alexandria database. Energies are from PBE.

## Properties
The calculation puts the relative energy among the computed polymorphs at 263 meV/atom. For the calculated formation energy, the calculation gives 0.0463 eV per atom. The space group is P4mm.

Cell lengths 2.877, 2.877, 8.865 Å; angles 90.00, 90.00, 90.00 degrees
Atoms (fractional coordinates):
Ta 0.000 0.000 0.994
Al 0.000 0.000 0.478
Ta 0.500 0.500 0.257
As 0.500 0.500 0.771



Record 6
Here is TbSmRe4 after structural relaxation from the Alexandria database. Energies are from PBE.

## Properties
For the calculated formation energy, the calculation gives -0.0906 eV per atom. The space group is F-43m.

Cell lengths 5.454, 5.454, 5.454 Å; angles 60.00, 60.00, 60.00 degrees
Atoms (fractional coordinates):
Tb 0.000 0.000 0.000
Re 0.625 0.625 0.625
Sm 0.250 0.250 0.250
Re 0.625 0.125 0.625
Re 0.125 0.625 0.625
Re 0.625 0.625 0.125



Record 7
Here is Dy2ErRh2 after structural relaxation from the Alexandria database. Energies are from PBE.

## Properties
The calculation puts the relative energy among the computed polymorphs at 16 meV/atom. For the calculated formation energy, the calculation gives -0.6301 eV per atom. The space group is Cmcm.

Cell lengths 3.764, 4.610, 13.290 Å; angles 90.00, 98.14, 90.00 degrees
Atoms (fractional coordinates):
Dy 0.266 0.750 0.531
Dy 0.948 0.750 0.896
Rh 0.534 0.750 0.067
Er 0.637 0.750 0.274
Rh 0.840 0.750 0.680
Er 0.363 0.250 0.726
Dy 0.734 0.250 0.469
Rh 0.466 0.250 0.933
Rh 0.160 0.250 0.320
Dy 0.052 0.250 0.104



Record 8
Here is Cs2Pa3ReO12 after structural relaxation from the Alexandria database. Energies are from PBE.

## Properties
As for the raw formation energy: -2838 meV/atom. The space group is R-3m.

Cell lengths 7.890, 7.890, 7.890 Å; angles 61.17, 61.17, 61.17 degrees
Atoms (fractional coordinates):
Re 0.000 0.000 0.000
O 0.944 0.944 0.280
O 0.320 0.320 0.936
O 0.944 0.280 0.944
O 0.720 0.056 0.056
O 0.936 0.320 0.320
O 0.680 0.680 0.064
O 0.680 0.064 0.680
O 0.280 0.944 0.944
O 0.064 0.680 0.680
Pa 0.000 0.000 0.500
O 0.056 0.056 0.720
Cs 0.620 0.620 0.620
O 0.056 0.720 0.056
Pa 0.000 0.500 0.000
Cs 0.380 0.380 0.380
O 0.320 0.936 0.320
Pa 0.500 0.000 0.000



Record 9
Here is PuHg2Pd3 after structural relaxation from the Alexandria database. Energies are from PBE.

## Properties
For the calculated formation energy, the calculation gives -0.1977 eV per atom. The space group is Cmcm.

Cell lengths 5.571, 7.900, 7.900 Å; angles 135.68, 90.00, 90.00 degrees
Last column: magnetic moment on the atom in μB.
Atoms (fractional coordinates):
Hg 0.000 0.243 0.243  0.00
Pd 0.250 0.905 0.569  -0.07
Pd 0.250 0.431 0.095  -0.07
Hg 0.000 0.757 0.757  0.00
Pu 0.250 0.320 0.680  5.04
Pd 0.750 0.164 0.836  -0.05
Hg 0.500 0.757 0.757  0.00
Hg 0.500 0.243 0.243  0.00
Pd 0.250 0.836 0.164  -0.05
Pu 0.750 0.680 0.320  5.04
Pd 0.750 0.095 0.431  -0.07
Pd 0.750 0.569 0.905  -0.07



Record 10
Here is Sm4HoAl5 after structural relaxation from the Alexandria database. Energies are from PBE.

## Properties
For the calculated formation energy, the calculation gives -0.3783 eV per atom. The space group is P4/mmm.

Cell lengths 3.658, 3.658, 18.324 Å; angles 90.00, 90.00, 90.00 degrees
Atoms (fractional coordinates):
Sm 0.000 0.000 0.399
Ho 0.000 0.000 0.000
Sm 0.000 0.000 0.601
Al 0.500 0.500 0.298
Al 0.500 0.500 0.907
Al 0.500 0.500 0.702
Al 0.500 0.500 0.500
Al 0.500 0.500 0.093
Sm 0.000 0.000 0.804
Sm 0.000 0.000 0.196



Record 11
Here is Cs3KHg8 after structural relaxation from the Alexandria database. Energies are from PBE.

## Properties
The calculation puts the relative energy among the computed polymorphs at 13 meV/atom. For the calculated formation energy, the calculation gives -0.2188 eV per atom. The space group is R3m.

Cell lengths 6.669, 6.669, 11.871 Å; angles 73.68, 73.68, 60.00 degrees
Atoms (fractional coordinates):
Hg 0.436 0.934 0.194
Hg 0.937 0.937 0.682
Cs 0.375 0.375 0.874
K 0.875 0.875 0.374
Hg 0.687 0.687 0.939
Hg 0.444 0.937 0.682
Hg 0.937 0.444 0.682
Cs 0.998 0.998 0.005
Cs 0.501 0.501 0.498
Hg 0.934 0.436 0.194
Hg 0.436 0.436 0.194
Hg 0.188 0.188 0.435



Record 12
Here is Tm12SnPb6 after structural relaxation from the Alexandria database. Energies are from PBE.

## Properties
For the calculated formation energy, the calculation gives -0.1586 eV per atom. The space group is R-3.

Cell lengths 8.756, 8.756, 8.756 Å; angles 101.00, 101.00, 101.00 degrees
Atoms (fractional coordinates):
Tm 0.048 0.672 0.946
Pb 0.684 0.875 0.375
Tm 0.450 0.807 0.587
Tm 0.413 0.550 0.193
Pb 0.375 0.684 0.875
Tm 0.672 0.946 0.048
Sn 0.000 0.000 0.000
Pb 0.875 0.375 0.684
Tm 0.807 0.587 0.450
Tm 0.946 0.048 0.672
Pb 0.125 0.625 0.316
Tm 0.193 0.413 0.550
Pb 0.316 0.125 0.625
Tm 0.952 0.328 0.054
Tm 0.328 0.054 0.952
Pb 0.625 0.316 0.125
Tm 0.054 0.952 0.328
Tm 0.550 0.193 0.413
Tm 0.587 0.450 0.807



Quick rundown of DOS at the Fermi energy, same order as above: 4.9, 8.2, 3.8, 9.2, 2.2, 8.0, 3.3, 0.0, 16.1, 3.6, 7.2, 18.7 states/eV/f.u.
Quick rundown of VASP energy, same order as above: -0.3140, -0.6141, -0.7107, -0.3362, -0.5864, -0.7311, -0.4648, -0.6256, -0.3883, -0.3377, -0.0533, -0.3208 Ry per atom